(1)
! AgBPb | Alexandria | PBE | optimized geometry; values from VASP
! SG: P1, No. 1
! Formation enthalpy at 0 K: 576 meV/atom
! Total magnetic moment: 0.00 μB/atom
&SYSTEM
  ibrav = 0, nat = 6, ntyp = 3
/
ATOMIC_SPECIES
Pb 207.20 Pb.upf
B 10.81 B.upf
Ag 107.87 Ag.upf
CELL_PARAMETERS angstrom
-2.542 -3.305 -5.321
3.436 -0.870 1.989
-2.823 -3.816 3.282
ATOMIC_POSITIONS crystal
Pb 0.623 0.669 0.140
Pb 0.533 0.078 0.648
B 0.036 0.581 0.697
B 0.908 0.452 0.955
Ag 0.143 0.186 0.871
Ag 0.033 0.576 0.319

---

(2)
! AgBPb | Alexandria | PBE | optimized geometry; values from VASP
! SG: Pm, No. 6
! Formation enthalpy at 0 K: 343 meV/atom
! Total magnetic moment: 0.00 μB/atom
&SYSTEM
  ibrav = 0, nat = 6, ntyp = 3
/
ATOMIC_SPECIES
Pb 207.20 Pb.upf
B 10.81 B.upf
Ag 107.87 Ag.upf
CELL_PARAMETERS angstrom
6.046 0.082 -0.004
0.621 3.125 -0.003
0.008 -0.001 6.750
ATOMIC_POSITIONS crystal
Pb 0.658 0.830 0.430
Pb 0.674 0.857 0.930
B 0.101 0.840 0.430
B 0.094 0.343 0.430
Ag 0.283 0.509 0.139
Ag 0.284 0.508 0.721

---

(3)
! AgBPb3 | Alexandria | PBE | optimized geometry; values from VASP
! SG: Pm-3m, No. 221
! Energy above the lowest structure with this stoichiometry: 3.05 eV per formula unit
! Formation enthalpy at 0 K: 1308 meV/atom
! Total magnetic moment: 0.00 μB/atom
&SYSTEM
  ibrav = 0, nat = 5, ntyp = 3
/
ATOMIC_SPECIES
Pb 207.20 Pb.upf
B 10.81 B.upf
Ag 107.87 Ag.upf
CELL_PARAMETERS angstrom
-4.173 3.084 -1.792
-2.244 -4.414 -2.371
-2.773 -1.070 4.616
ATOMIC_POSITIONS crystal
Pb 0.000 0.500 0.000
Pb 0.000 0.000 0.500
Pb 0.500 0.000 0.000
B 0.500 0.500 0.500
Ag 0.000 0.000 0.000

---

(4)
! AgB3Pb | Alexandria | PBE | optimized geometry; values from VASP
! SG: Pm-3m, No. 221
! Energy above the lowest structure with this stoichiometry: 3.18 eV per formula unit
! Formation enthalpy at 0 K: 2530 meV/atom
! Total magnetic moment: 0.00 μB/atom
&SYSTEM
  ibrav = 0, nat = 5, ntyp = 3
/
ATOMIC_SPECIES
Pb 207.20 Pb.upf
B 10.81 B.upf
Ag 107.87 Ag.upf
CELL_PARAMETERS angstrom
-3.549 3.049 -0.189
-3.053 -3.529 0.394
0.114 0.422 4.663
ATOMIC_POSITIONS crystal
Pb 0.000 0.000 0.000
B 0.000 0.500 0.000
B 0.000 0.000 0.500
B 0.500 0.000 0.000
Ag 0.500 0.500 0.500

---

(5)
! AgBPb | Alexandria | PBE | optimized geometry; values from VASP
! SG: P4/nmm, No. 129
! Formation enthalpy at 0 K: 917 meV/atom
! Total magnetic moment: 0.00 μB/atom
&SYSTEM
  ibrav = 0, nat = 6, ntyp = 3
/
ATOMIC_SPECIES
Pb 207.20 Pb.upf
B 10.81 B.upf
Ag 107.87 Ag.upf
CELL_PARAMETERS angstrom
4.222 0.000 0.000
0.000 4.222 0.000
0.000 0.000 6.689
ATOMIC_POSITIONS crystal
Pb 0.000 0.500 0.169
Pb 0.500 0.000 0.831
B 0.000 0.000 0.500
B 0.500 0.500 0.500
Ag 0.000 0.500 0.642
Ag 0.500 0.000 0.358

---

(6)
! AgBPb | Alexandria | PBE | optimized geometry; values from VASP
! SG: P-1, No. 2
! Formation enthalpy at 0 K: 528 meV/atom
! Total magnetic moment: 0.00 μB/atom
&SYSTEM
  ibrav = 0, nat = 6, ntyp = 3
/
ATOMIC_SPECIES
Pb 207.20 Pb.upf
B 10.81 B.upf
Ag 107.87 Ag.upf
CELL_PARAMETERS angstrom
-0.493 -4.012 -1.439
3.489 4.754 -4.948
2.752 -1.575 3.128
ATOMIC_POSITIONS crystal
Pb 0.222 0.360 0.032
Pb 0.947 0.706 0.739
B 0.538 0.115 0.852
B 0.631 0.951 0.919
Ag 0.693 0.878 0.356
Ag 0.476 0.187 0.414

---

Among the records above, which one has the lowest formation enthalpy at 0 K?
number 2

---

Which value of formation enthalpy at 0 K does entry 1 give?
576 meV/atom